Entry 1:
This record from Alexandria describes a relaxed structure of Sc3CuNi3. The functional is PBE.

The structure in extended XYZ format:
```
14
Lattice="6.2764 0.0095 0.2551 0.0239 6.2764 0.2551 0.2635 0.2630 5.7541" Properties=species:S:1:pos:R:3 pbc="T T T"
Ni 1.7676 4.7922 3.1322
Sc 2.7239 0.3589 1.5341
Sc 3.8399 6.1900 4.7302
Sc 0.3651 2.7231 1.5341
Sc 5.7824 5.7692 1.9854
Ni 4.7432 1.5463 0.2551
Sc 0.7814 0.7797 4.2788
Ni 2.4327 2.4271 2.9105
Ni 4.7962 1.7567 3.1321
Ni 4.1311 4.1217 3.3537
Sc 6.1987 3.8258 4.7301
Ni 1.8207 5.0026 6.0091
Cu 3.8024 3.7937 1.0444
Cu 2.7615 2.7552 5.2198
```

## Properties
Formation energy from the elements   -0.28 eV per atom
Total magnetization   0.000 Bohr magnetons per cell
Symmetry   C2/m (12)
Volume   225.83 Å³ per cell

Entry 2:
This record from Alexandria describes a relaxed structure of CrCd2Ru. The functional is PBE.

The structure in extended XYZ format:
```
4
Lattice="-3.0832 -2.6580 2.1296 1.3373 -2.8214 3.3702 -1.1873 0.8904 4.3479" Properties=species:S:1:pos:R:3 pbc="T T T"
Cd -0.7333 -1.1472 2.4619
Ru -2.1999 -3.4417 7.3858
Cr -1.4666 -2.2945 4.9239
Cd 0.0000 0.0000 0.0000
```

## Properties
Formation energy from the elements   0.44 eV per atom
Total magnetization   2.788 Bohr magnetons per cell
Polymorph energy (0 for the lowest one)   277 meV/atom
Symmetry   F-43m (216)
Volume   68.57 Å³ per cell

Entry 3:
This record from Alexandria describes a relaxed structure of Li3Mg. The functional is PBE.

The structure in extended XYZ format:
```
4
Lattice="-5.8769 3.1671 2.2605 0.8787 -1.4915 4.3742 8.6235 -1.9103 -2.3837" Properties=species:S:1:pos:R:3 pbc="T T T"
Li 5.5452 -0.3831 -1.2446
Li 0.1399 0.0564 -0.0089
Mg -1.0299 0.0460 2.7522
Li -3.9684 1.6296 3.8825
```

## Properties
Formation energy from the elements   -0.02 eV per atom
Total magnetization   0.000 Bohr magnetons per cell
Symmetry   P2/m (10)
Volume   81.38 Å³ per cell

Entry 4:
This record from Alexandria describes a relaxed structure of CaUGe. The functional is PBE.

The structure in extended XYZ format:
```
6
Lattice="4.1032 0.0000 0.0000 0.0000 4.1032 0.0000 0.0000 0.0000 8.6387" Properties=species:S:1:pos:R:3 pbc="T T T"
U 2.0516 2.0516 4.3194
Ca 0.0000 2.0516 7.4285
U 0.0000 0.0000 4.3194
Ge 0.0000 2.0516 2.0990
Ca 2.0516 0.0000 1.2103
Ge 2.0516 0.0000 6.5397
```

## Properties
Formation energy from the elements   -0.32 eV per atom
Total magnetization   3.742 Bohr magnetons per cell
Symmetry   P4/nmm (129)
Volume   145.44 Å³ per cell

Entry 5:
This record from Alexandria describes a relaxed structure of Ho2TmPaFe2. The functional is PBE.

The structure in extended XYZ format:
```
12
Lattice="6.4772 0.0000 0.0000 0.0000 6.6702 0.0000 -3.2386 -3.3351 6.4499" Properties=species:S:1:pos:R:3 pbc="T T T"
Tm 4.8579 0.0000 0.0000
Tm 1.6193 0.0000 0.0000
Ho 0.0000 1.9818 2.5708
Fe 0.0000 1.3259 5.2040
Pa 1.6193 3.3351 0.0000
Fe 3.2386 -1.3259 5.2040
Pa 4.8579 3.3351 0.0000
Ho 3.2386 1.3533 3.8792
Ho 0.0000 -1.3533 3.8792
Ho 3.2386 4.6884 2.5708
Fe 3.2386 2.0092 1.2460
Fe 0.0000 4.6610 1.2460
```

## Properties
Formation energy from the elements   -0.06 eV per atom
Total magnetization   0.000 Bohr magnetons per cell
Symmetry   Ibam (72)
Volume   278.66 Å³ per cell

Entry 6:
This record from Alexandria describes a relaxed structure of Li3Mg5Cd. The functional is PBE.

The structure in extended XYZ format:
```
18
Lattice="-4.0568 5.6309 -1.2515 -4.2389 -0.9592 -5.5535 -10.5274 -1.1910 2.2701" Properties=species:S:1:pos:R:3 pbc="T T T"
Li -5.2637 -0.5955 1.1351
Li -4.2736 0.9689 -1.3032
Mg -9.5530 1.8219 -5.1147
Mg -9.3390 -0.8376 -1.0499
Cd -2.5829 -0.2289 0.4601
Mg -12.1013 0.1148 0.3365
Li 0.0000 0.0000 0.0000
Li -14.5493 2.5118 -3.2317
Li -11.9243 3.0602 -4.1830
Mg -4.1150 3.5247 -2.6265
Mg -6.7217 3.3658 -4.8714
Li -6.8987 0.4204 -0.3520
Mg -4.1807 1.1470 -4.1786
Mg -11.1593 1.6509 -2.0565
Mg -7.6637 1.8298 -2.4785
Mg -9.2700 1.6588 0.5798
Mg -9.4840 4.3182 -3.4851
Cd -16.2401 3.7096 -4.9950
```

## Properties
Formation energy from the elements   0.16 eV per atom
Total magnetization   0.000 Bohr magnetons per cell
Symmetry   C2/m (12)
Volume   425.37 Å³ per cell